[1]
The following is a DFT calculation (GGA-PBE) of a relaxed structure of K3Co.

Unit cell a=9.0291 b=9.0291 c=9.0291 alpha=153.89 beta=47.48 gamma=141.07
Last column: nearest neighbours and their distance in Å.
Atoms (fractional coordinates):
K 0.0000 0.0000 0.0000  4 Co 3.63-3.64
K 0.3317 0.4994 0.8324  2 Co 3.44
K 0.6670 0.4994 0.1676  2 Co 3.44
Co 0.5003 0.0003 0.5000  8 K 3.44-3.64

Properties
formation enthalpy at 0 K	0.73	eV per atom


[2]
The following is a DFT calculation (GGA-PBE) of a relaxed structure of Zr6Au2C.

Unit cell a=3.3329 b=7.7643 c=7.7643 alpha=118.45 beta=90.00 gamma=90.00
Last column: nearest neighbours and their distance in Å.
Atoms (fractional coordinates):
Zr 0.0000 0.0000 0.0000  2 C 2.30
Zr 0.0000 0.5378 0.7554  2 C 2.52
Zr 0.0000 0.7554 0.5378  2 C 2.52
Zr 0.5000 0.1447 0.7555  1 C 2.86, 4 Au 2.90-2.97, 4 Zr 3.11-3.15
Zr 0.5000 0.3465 0.3465  4 Au 2.90, 6 Zr 3.22-3.25
Zr 0.5000 0.7555 0.1447  1 C 2.86, 4 Au 2.90-2.97, 4 Zr 3.11-3.15
Au 0.0000 0.0864 0.4264  9 Zr 2.90-3.21
Au 0.0000 0.4264 0.0864  9 Zr 2.90-3.21
C 0.5000 0.7998 0.7998  6 Zr 2.30-2.52

Properties
formation enthalpy at 0 K	-0.32	eV per atom


[3]
The following is a DFT calculation (GGA-PBE) of a relaxed structure of LiCrH4.

Unit cell a=5.0345 b=5.0345 c=4.5817 alpha=107.88 beta=107.88 gamma=110.13
Last column: nearest neighbours and their distance in Å.
Atoms (fractional coordinates):
Li 0.1444 0.8556 0.7500  6 H 2.00-2.13
Li 0.8556 0.1444 0.2500  6 H 2.00-2.13
Cr 0.4949 0.5051 0.7500  8 H 1.73-1.81
Cr 0.5051 0.4949 0.2500  8 H 1.73-1.81
H 0.1802 0.3075 0.8225  2 Cr 1.75-1.80, 2 H 1.87-1.95
H 0.2503 0.5565 0.4381  2 Cr 1.73-1.81, 1 H 1.87
H 0.3075 0.1802 0.3225  2 Cr 1.75-1.80, 2 H 1.87-1.95
H 0.4435 0.7497 0.0619  2 Cr 1.73-1.81, 1 H 1.87
H 0.5565 0.2503 0.9381  2 Cr 1.73-1.81, 1 H 1.87
H 0.6925 0.8198 0.6775  2 Cr 1.75-1.80, 2 H 1.87-1.95
H 0.7497 0.4435 0.5619  2 Cr 1.73-1.81, 1 H 1.87
H 0.8198 0.6925 0.1775  2 Cr 1.75-1.80, 2 H 1.87-1.95


[4]
The following is a DFT calculation (GGA-PBE) of a relaxed structure of LiFeIr2.

Unit cell a=2.6998 b=2.6998 c=7.6932 alpha=90.00 beta=90.00 gamma=90.00
Last column: nearest neighbours and their distance in Å.
Atoms (fractional coordinates):
Li 0.0000 0.0000 0.0000  4 Li 2.70, 4 Ir 2.71, 4 Fe 2.81
Fe 0.5000 0.5000 0.2673  4 Ir 2.64, 4 Fe 2.70, 4 Li 2.81
Ir 0.0000 0.0000 0.5044  4 Fe 2.64, 8 Ir 2.69-2.70
Ir 0.5000 0.5000 0.7505  8 Ir 2.69-2.70, 4 Li 2.71

Properties
formation enthalpy at 0 K	0.11	eV per atom


[5]
The following is a DFT calculation (GGA-PBE) of a relaxed structure of Nd8CoPd3I4.

Unit cell a=9.4578 b=9.4578 c=9.4578 alpha=53.11 beta=53.11 gamma=53.11
Last column: nearest neighbours and their distance in Å.
Atoms (fractional coordinates):
Nd 0.2299 0.2299 0.2299  3 Pd 2.88
Nd 0.2458 0.7199 0.7199  1 Co 2.76, 2 Pd 2.92
Nd 0.2801 0.2801 0.7542  1 Co 2.76, 2 Pd 2.92
Nd 0.2801 0.7542 0.2801  1 Co 2.76, 2 Pd 2.92
Nd 0.7199 0.2458 0.7199  1 Co 2.76, 2 Pd 2.92
Nd 0.7199 0.7199 0.2458  1 Co 2.76, 2 Pd 2.92
Nd 0.7542 0.2801 0.2801  1 Co 2.76, 2 Pd 2.92
Nd 0.7701 0.7701 0.7701  3 Pd 2.88
Co 0.5000 0.5000 0.5000  6 Nd 2.76
Pd 0.0000 0.0000 0.5000  6 Nd 2.88-2.92
Pd 0.0000 0.5000 0.0000  6 Nd 2.88-2.92
Pd 0.5000 0.0000 0.0000  6 Nd 2.88-2.92
I 0.0000 0.0000 0.0000  6 Nd 3.62
I 0.0000 0.5000 0.5000  6 Nd 3.49-3.50
I 0.5000 0.0000 0.5000  6 Nd 3.49-3.50
I 0.5000 0.5000 0.0000  6 Nd 3.49-3.50

Properties
formation energy (no corrections)	-0.81	eV/atom


[6]
The following is a DFT calculation (GGA-PBE) of a relaxed structure of CaSmHoSc.

Unit cell a=5.6316 b=5.6316 c=5.6316 alpha=60.00 beta=60.00 gamma=60.00
Last column: nearest neighbours and their distance in Å.
Atoms (fractional coordinates):
Ca 0.0000 0.0000 0.0000  4 Sm 3.45, 4 Ho 3.45
Sm 0.7500 0.7500 0.7500  4 Ca 3.45, 4 Sc 3.45
Ho 0.2500 0.2500 0.2500  4 Ca 3.45, 4 Sc 3.45
Sc 0.5000 0.5000 0.5000  4 Sm 3.45, 4 Ho 3.45

Properties
formation enthalpy at 0 K	0.16	eV per atom


[7]
The following is a DFT calculation (GGA-PBE) of a relaxed structure of ScMnSe2.

Unit cell a=8.1615 b=8.1615 c=8.1615 alpha=27.51 beta=27.51 gamma=27.51
Last column: nearest neighbours and their distance in Å.
Atoms (fractional coordinates):
Sc 0.0000 0.0000 0.0000  6 Se 2.70
Mn 0.5000 0.5000 0.5000  2 Se 2.41
Se 0.3977 0.3977 0.3977  1 Mn 2.41
Se 0.6023 0.6023 0.6023  1 Mn 2.41

Properties
formation energy (no corrections)	-0.82	eV/atom


[8]
The following is a DFT calculation (GGA-PBE) of a relaxed structure of K3Cd4In4.

Unit cell a=4.6012 b=5.1396 c=15.4903 alpha=83.32 beta=81.50 gamma=89.96
Last column: nearest neighbours and their distance in Å.
Atoms (fractional coordinates):
K 0.0000 0.0000 0.0000  4 Cd 3.72-3.74, 8 In 3.72-3.79
K 0.1478 0.6252 0.7057  6 In 3.70-3.78, 7 Cd 3.72-3.84
K 0.8522 0.3748 0.2943  6 In 3.70-3.78, 7 Cd 3.72-3.84
Cd 0.2531 0.2984 0.4928  4 In 2.97-3.09, 2 Cd 3.12-3.13
Cd 0.4001 0.9246 0.1928  3 In 2.95-2.96
Cd 0.5999 0.0754 0.8072  3 In 2.95-2.96
Cd 0.7469 0.7016 0.5072  4 In 2.97-3.09, 2 Cd 3.12-3.13
In 0.3076 0.8489 0.3874  5 Cd 2.96-3.09
In 0.4483 0.4594 0.0975  2 Cd 2.95-2.96, 1 In 2.97
In 0.5517 0.5406 0.9025  2 Cd 2.95-2.96, 1 In 2.97
In 0.6924 0.1511 0.6126  5 Cd 2.96-3.09

Properties
formation enthalpy at 0 K	-0.07	eV per atom


[9]
The following is a DFT calculation (GGA-PBE) of a relaxed structure of Na3LiZr3O8.

Unit cell a=6.6586 b=6.6586 c=6.6586 alpha=57.83 beta=57.83 gamma=57.83
Last column: nearest neighbours and their distance in Å.
Atoms (fractional coordinates):
Na 0.0000 0.5000 0.5000  6 O 2.44-2.54
Na 0.5000 0.0000 0.5000  6 O 2.44-2.54
Na 0.5000 0.5000 0.0000  6 O 2.44-2.54
Li 0.5000 0.5000 0.5000  6 O 2.22
Zr 0.0000 0.0000 0.5000  6 O 2.11-2.20
Zr 0.0000 0.5000 0.0000  6 O 2.11-2.20
Zr 0.5000 0.0000 0.0000  6 O 2.11-2.20
O 0.2168 0.7385 0.7385  2 Zr 2.11, 1 Li 2.22
O 0.2381 0.2381 0.2381  3 Zr 2.20, 3 Na 2.44
O 0.2615 0.2615 0.7832  2 Zr 2.11, 1 Li 2.22
O 0.2615 0.7832 0.2615  2 Zr 2.11, 1 Li 2.22
O 0.7385 0.2168 0.7385  2 Zr 2.11, 1 Li 2.22
O 0.7385 0.7385 0.2168  2 Zr 2.11, 1 Li 2.22
O 0.7619 0.7619 0.7619  3 Zr 2.20, 3 Na 2.44
O 0.7832 0.2615 0.2615  2 Zr 2.11, 1 Li 2.22

Properties
formation energy (no corrections)	-2.63	eV/atom


[10]
The following is a DFT calculation (GGA-PBE) of a relaxed structure of Np2Co3As4Pd.

Unit cell a=4.1518 b=4.1518 c=9.5668 alpha=90.00 beta=90.00 gamma=90.00
Last column: nearest neighbours and their distance in Å.
Atoms (fractional coordinates):
Np 0.0000 0.5000 0.2414  8 As 3.11-3.12, 7 Co 3.19-3.37, 2 Pd 3.23
Np 0.5000 0.0000 0.7586  8 As 3.11-3.12, 7 Co 3.19-3.37, 2 Pd 3.23
Co 0.0000 0.5000 0.8887  5 As 2.29-2.33
Co 0.5000 0.0000 0.1113  5 As 2.29-2.33
Co 0.5000 0.5000 0.5000  4 As 2.52
As 0.0000 0.0000 0.0000  4 Co 2.33
As 0.0000 0.5000 0.6488  3 Co 2.29-2.52, 2 Pd 2.52
As 0.5000 0.0000 0.3512  3 Co 2.29-2.52, 2 Pd 2.52
As 0.5000 0.5000 0.0000  4 Co 2.33
Pd 0.0000 0.0000 0.5000  4 As 2.52

Properties
formation enthalpy at 0 K	-0.46	eV per atom


[11]
The following is a DFT calculation (GGA-PBE) of a relaxed structure of Na2AcNdO4.

Unit cell a=6.0707 b=3.6957 c=6.4346 alpha=90.00 beta=110.91 gamma=90.00
Last column: nearest neighbours and their distance in Å.
Atoms (fractional coordinates):
Na 0.0000 0.0000 0.0000  6 O 2.63-2.64
Na 0.0000 0.5000 0.5000  6 O 2.69-2.74
Ac 0.5000 0.0000 0.5000  6 O 2.50-2.52
Nd 0.5000 0.5000 0.0000  6 O 2.41-2.44
O 0.2812 0.5000 0.2479  1 Nd 2.41, 2 Ac 2.50, 2 Na 2.63
O 0.2828 0.0000 0.7692  2 Nd 2.44, 1 Ac 2.52, 3 Na 2.64-2.69
O 0.7172 0.0000 0.2308  2 Nd 2.44, 1 Ac 2.52, 3 Na 2.64-2.69
O 0.7188 0.5000 0.7521  1 Nd 2.41, 2 Ac 2.50, 2 Na 2.63

Properties
formation energy (no corrections)	-2.55	eV/atom


| no. | volume (Å³/cell) | VASP energy (eV/atom) | calculated density (g/cm3) |
| --- | --- | --- | --- |
| 1 | 202.9 | -1.869 | 1.442 |
| 2 | 176.7 | -7.768 | 8.961 |
| 3 | 92.0 | -4.197 | 2.272 |
| 4 | 56.1 | -6.912 | 13.243 |
| 5 | 501.6 | -4.996 | 6.753 |
| 6 | 126.3 | -4.245 | 5.264 |
| 7 | 102.4 | -6.437 | 4.181 |
| 8 | 359.8 | -1.700 | 4.736 |
| 9 | 198.3 | -7.375 | 3.998 |
| 10 | 164.9 | -7.556 | 10.643 |
| 11 | 134.9 | -6.473 | 5.925 |